Compound: Ag5O2F12
Source: the Alexandria database
Functional: GGA-PBE
Structure: relaxed

Values from the calculation:
N(E_F) in states/eV per atom: 0.3709
Space group: No. 12
Total moment in μB/cell: 3.43
Calculated total energy in Ry per atom: -0.232
ΔE_f (raw) in eV per atom: -0.7052

POSCAR file:
```
Ag5O2F12
1.0
-1.3613 0.9942 5.5445
-0.8328 -6.2665 -2.1093
7.5810 -2.3420 2.2812
F Ag O
12 5 2
direct
0.5729 0.1458 0.2287
0.9044 0.2748 0.5011
0.5185 0.5520 0.1731
0.0002 0.0004 0.7363
0.4815 0.4480 0.8269
0.0956 0.7252 0.4989
0.0335 0.5520 0.1731
0.4271 0.8542 0.7713
0.9998 0.9996 0.2637
0.3704 0.2748 0.5011
0.9665 0.4480 0.8269
0.6296 0.7252 0.4989
0.2802 0.5604 0.6458
0.7198 0.4396 0.3542
0.0000 0.0000 0.5000
0.3859 0.7719 0.0960
0.6141 0.2281 0.9040
0.7264 0.0000 0.0000
0.2736 0.0000 0.0000
```

Compound: Ag2O2F
Source: the Alexandria database
Functional: GGA-PBE
Structure: relaxed

Values from the calculation:
N(E_F) in states/eV per atom: 0.2910
Space group: No. 12
Total moment in μB/cell: 1.19
Calculated total energy in Ry per atom: -0.273
ΔE_f (raw) in eV per atom: -0.2178

POSCAR file:
```
Ag2O2F
1.0
-0.2676 0.1356 -3.1896
-1.5625 -2.2490 -1.6625
-6.7226 5.1644 2.3640
O F Ag
2 1 2
direct
0.4394 0.4394 0.5556
0.5606 0.5606 0.4444
0.0000 0.0000 0.0000
0.3550 0.3550 0.1997
0.6450 0.6450 0.8003
```

Compound: Ag4OF2
Source: the Alexandria database
Functional: GGA-PBE
Structure: relaxed

Values from the calculation:
N(E_F) in states/eV per atom: 0.2029
Space group: No. 12
Total moment in μB/cell: 0.02
Energy relative to the lowest polymorph listed for this composition in meV per atom: 0
Calculated total energy in Ry per atom: -0.251
ΔE_f (raw) in eV per atom: -0.5461

POSCAR file:
```
Ag4OF2
1.0
3.1402 0.0000 0.0000
0.0000 5.6748 -0.0578
-1.5701 -2.8281 5.9724
Ag F O
4 2 1
direct
0.8984 0.2394 0.7969
0.6061 0.3157 0.2122
0.3939 0.6843 0.7878
0.1016 0.7606 0.2031
0.7445 0.7497 0.4891
0.2555 0.2503 0.5109
0.0000 0.0000 0.0000
```

Compound: Ag3OF2
Source: the Alexandria database
Functional: GGA-PBE
Structure: relaxed

Values from the calculation:
N(E_F) in states/eV per atom: 0.6432
Space group: No. 14
Total moment in μB/cell: 0.00
Energy relative to the lowest polymorph listed for this composition in meV per atom: 0
Calculated total energy in Ry per atom: -0.257
ΔE_f (raw) in eV per atom: -0.6252

POSCAR file:
```
Ag3OF2
1.0
-1.4563 -3.9438 2.0964
5.3125 0.2350 4.1129
-5.8850 6.0308 7.2569
Ag F O
12 8 4
direct
0.2508 0.1205 0.2496
0.7509 0.3973 0.4010
0.2508 0.6205 0.2504
0.7492 0.3795 0.7496
0.7499 0.8216 0.4544
0.2501 0.6784 0.9544
0.2491 0.6027 0.5990
0.7499 0.3216 0.0456
0.2491 0.1027 0.9010
0.7492 0.8795 0.7504
0.2501 0.1784 0.5456
0.7509 0.8973 0.0990
0.7506 0.0533 0.3001
0.2499 0.8505 0.4273
0.7501 0.1495 0.5727
0.2494 0.9467 0.6999
0.2494 0.4467 0.8001
0.2499 0.3505 0.0727
0.7501 0.6495 0.9273
0.7506 0.5533 0.1999
0.7491 0.6280 0.6211
0.2509 0.3720 0.3789
0.7491 0.1280 0.8789
0.2509 0.8720 0.1211
```

Compound: Ag4OF2
Source: the Alexandria database
Functional: GGA-PBE
Structure: relaxed

Values from the calculation:
N(E_F) in states/eV per atom: 0.2129
Space group: No. 139
Total moment in μB/cell: 0.00
Energy relative to the lowest polymorph listed for this composition in meV per atom: 23
Calculated total energy in Ry per atom: -0.250
ΔE_f (raw) in eV per atom: -0.5233

POSCAR file:
```
Ag4OF2
1.0
-3.7851 2.2879 -0.9760
-2.4438 -3.0899 2.2347
-2.5154 2.6966 5.5674
Ag F O
4 2 1
direct
0.8130 0.8130 0.3740
0.0000 0.5000 0.0000
0.1870 0.1870 0.6260
0.5000 0.0000 0.0000
0.6319 0.6319 0.7362
0.3681 0.3681 0.2638
0.0000 0.0000 0.0000
```

Compound: Ag5OF5
Source: the Alexandria database
Functional: GGA-PBE
Structure: relaxed

Values from the calculation:
N(E_F) in states/eV per atom: 0.8029
Space group: No. 12
Total moment in μB/cell: 0.57
Calculated total energy in Ry per atom: -0.253
ΔE_f (raw) in eV per atom: -0.8398

POSCAR file:
```
Ag5OF5
1.0
-0.3428 0.5395 4.9325
-3.0871 -4.6409 -2.2146
6.3718 -2.1908 0.6825
F Ag O
5 5 1
direct
0.6742 0.3484 0.8688
0.3258 0.6516 0.1312
0.2901 0.5801 0.6545
0.7099 0.4199 0.3455
0.0000 0.0000 0.5000
0.8572 0.7143 0.1724
0.1585 0.3171 0.3141
0.8415 0.6829 0.6859
0.5000 0.0000 0.0000
0.1428 0.2857 0.8276
0.0000 0.0000 0.0000
```

Compound: AgOsO2F
Source: the Alexandria database
Functional: GGA-PBE
Structure: relaxed

Values from the calculation:
N(E_F) in states/eV per atom: 0.2498
Space group: No. 123
Total moment in μB/cell: 0.00
Calculated total energy in Ry per atom: -0.431
ΔE_f (raw) in eV per atom: -0.6943

POSCAR file:
```
AgOsO2F
1.0
-0.2712 -0.0542 3.6600
1.4565 -3.3686 0.0580
5.8191 2.5242 0.4686
F Ag Os O
1 1 1 2
direct
0.0000 0.0000 0.5000
0.5000 0.5000 0.5000
0.0000 0.0000 0.0000
0.5000 0.0000 0.0000
0.0000 0.5000 0.0000
```

Compound: AgOsO2F
Source: the Alexandria database
Functional: GGA-PBE
Structure: relaxed

Values from the calculation:
N(E_F) in states/eV per atom: 0.5933
Space group: No. 123
Total moment in μB/cell: 4.52
Calculated total energy in Ry per atom: -0.311
ΔE_f (raw) in eV per atom: 0.9436

POSCAR file:
```
AgOsO2F
1.0
4.1193 0.0000 0.0000
0.0000 4.1193 0.0000
0.0000 0.0000 4.1487
O Os F Ag
2 1 1 1
direct
0.5000 0.0000 0.0000
0.0000 0.5000 0.0000
0.5000 0.5000 0.5000
0.0000 0.0000 0.5000
0.0000 0.0000 0.0000
```

Compound: AgOsOF2
Source: the Alexandria database
Functional: GGA-PBE
Structure: relaxed

Values from the calculation:
N(E_F) in states/eV per atom: 1.0491
Space group: No. 123
Total moment in μB/cell: 4.16
Energy relative to the lowest polymorph listed for this composition in meV per atom: 1270
Calculated total energy in Ry per atom: -0.289
ΔE_f (raw) in eV per atom: 0.6295

POSCAR file:
```
AgOsOF2
1.0
-0.1501 -4.2552 -0.2288
2.5009 -0.2733 3.4427
-3.3857 -0.0128 2.4584
F Ag Os O
2 1 1 1
direct
0.5000 0.0000 0.0000
0.0000 0.5000 0.0000
0.0000 0.0000 0.0000
0.5000 0.5000 0.5000
0.0000 0.0000 0.5000
```

Compound: AgOsOF2
Source: the Alexandria database
Functional: GGA-PBE
Structure: relaxed

Values from the calculation:
N(E_F) in states/eV per atom: 0.4841
Space group: No. 123
Total moment in μB/cell: 0.00
Energy relative to the lowest polymorph listed for this composition in meV per atom: 0
Calculated total energy in Ry per atom: -0.382
ΔE_f (raw) in eV per atom: -0.6403

POSCAR file:
```
AgOsOF2
1.0
-3.3608 -1.6610 2.3376
-0.5131 -3.1949 -3.0079
2.3613 -2.1423 1.8726
O Ag Os F
1 1 1 2
direct
0.0000 0.0000 0.5000
0.5000 0.5000 0.5000
0.0000 0.0000 0.0000
0.0000 0.5000 0.0000
0.5000 0.0000 0.0000
```

Compound: AgOsO4F
Source: the Alexandria database
Functional: GGA-PBE
Structure: relaxed

Values from the calculation:
Space group: No. 12
Total moment in μB/cell: 0.00
Calculated total energy in Ry per atom: -0.444
ΔE_f (raw) in eV per atom: -0.9335

POSCAR file:
```
AgOsO4F
1.0
-2.1519 -4.4385 -2.8312
1.9345 -3.7754 3.7883
-6.2819 -1.1405 3.9922
O Ag F Os
8 2 2 2
direct
0.4705 0.4705 0.6864
0.1520 0.5401 0.1433
0.5295 0.5295 0.3136
0.8026 0.8026 0.5248
0.4599 0.8480 0.8567
0.1974 0.1974 0.4752
0.5401 0.1520 0.1433
0.8480 0.4599 0.8567
0.8178 0.8178 0.1847
0.1822 0.1822 0.8153
0.1038 0.1038 0.1584
0.8962 0.8962 0.8416
0.3340 0.3340 0.2606
0.6660 0.6660 0.7394
```

Compound: AgPO2F2
Source: the Alexandria database
Functional: GGA-PBE
Structure: relaxed

Values from the calculation:
N(E_F) in states/eV per atom: 0.0000
Space group: No. 15
Total moment in μB/cell: 0.00
Calculated total energy in Ry per atom: -0.407
ΔE_f (raw) in eV per atom: -1.8886

POSCAR file:
```
AgPO2F2
1.0
13.6346 0.0472 0.0722
-8.8688 10.3560 0.0722
1.1431 2.4954 5.8260
P F Ag O
8 16 8 16
direct
0.3064 0.1726 0.2916
0.6870 0.3130 0.7500
0.3130 0.6870 0.2500
0.1860 0.8139 0.7500
0.8274 0.6936 0.2084
0.1726 0.3064 0.7916
0.8139 0.1860 0.2500
0.6936 0.8274 0.7084
0.3915 0.3314 0.1618
0.6271 0.3358 0.5817
0.6642 0.3729 0.9183
0.3314 0.3915 0.6618
0.3358 0.6271 0.0817
0.6686 0.6085 0.3382
0.8107 0.5898 0.1056
0.3729 0.6642 0.4183
0.3425 0.8876 0.6361
0.6575 0.1124 0.3639
0.6085 0.6686 0.8382
0.1893 0.4102 0.8944
0.8876 0.3425 0.1361
0.4102 0.1893 0.3944
0.5898 0.8107 0.6056
0.1124 0.6575 0.8639
0.6579 0.0354 0.8722
0.9652 0.8450 0.5975
0.0354 0.6579 0.3722
0.0348 0.1550 0.4025
0.1550 0.0348 0.9025
0.8450 0.9652 0.0975
0.3421 0.9646 0.1278
0.9646 0.3421 0.6278
0.5933 0.1582 0.8796
0.1050 0.1752 0.9912
0.8248 0.8950 0.5088
0.4068 0.8418 0.1204
0.1708 0.8597 0.9383
0.8907 0.7031 0.3804
0.8292 0.1403 0.0617
0.1582 0.5933 0.3796
0.7031 0.8907 0.8804
0.1093 0.2969 0.6196
0.8597 0.1708 0.4383
0.8950 0.8248 0.0088
0.2969 0.1093 0.1196
0.8418 0.4068 0.6204
0.1403 0.8292 0.5617
0.1752 0.1050 0.4912
```

Compound: Ag2PO4F
Source: the Alexandria database
Functional: GGA-PBE
Structure: relaxed

Values from the calculation:
N(E_F) in states/eV per atom: 0.7823
Space group: No. 23
Total moment in μB/cell: 0.00
Calculated total energy in Ry per atom: -0.381
ΔE_f (raw) in eV per atom: -1.0824

POSCAR file:
```
Ag2PO4F
1.0
3.8806 0.0000 0.0000
1.9403 5.1512 -1.0392
1.9403 0.3088 5.2459
O Ag F P
4 2 1 1
direct
0.5662 0.5244 0.7559
0.1536 0.7559 0.5244
0.8464 0.4756 0.2441
0.4338 0.2441 0.4756
0.0000 0.1837 0.8163
0.0000 0.8163 0.1837
0.5000 0.0000 0.0000
0.5000 0.5000 0.5000
```

Compound: AgPO2F
Source: the Alexandria database
Functional: GGA-PBE
Structure: relaxed

Values from the calculation:
N(E_F) in states/eV per atom: 0.8821
Space group: No. 123
Total moment in μB/cell: 1.65
Calculated total energy in Ry per atom: -0.241
ΔE_f (raw) in eV per atom: 0.7259

POSCAR file:
```
AgPO2F
1.0
3.8978 0.0000 0.0000
0.0000 3.8978 0.0000
0.0000 0.0000 5.2546
O Ag F P
2 1 1 1
direct
0.0000 0.5000 0.0000
0.5000 0.0000 0.0000
0.0000 0.0000 0.0000
0.5000 0.5000 0.5000
0.0000 0.0000 0.5000
```

Compound: AgPO2F
Source: the Alexandria database
Functional: GGA-PBE
Structure: relaxed

Values from the calculation:
N(E_F) in states/eV per atom: 0.6020
Space group: No. 123
Total moment in μB/cell: 0.00
Calculated total energy in Ry per atom: -0.260
ΔE_f (raw) in eV per atom: 0.4677

POSCAR file:
```
AgPO2F
1.0
4.1156 0.0000 0.0000
0.0000 4.1156 0.0000
0.0000 0.0000 4.0801
F O P Ag
1 2 1 1
direct
0.0000 0.0000 0.5000
0.0000 0.5000 0.0000
0.5000 0.0000 0.0000
0.5000 0.5000 0.5000
0.0000 0.0000 0.0000
```

Compound: AgPO2F
Source: the Alexandria database
Functional: GGA-PBE
Structure: relaxed

Values from the calculation:
N(E_F) in states/eV per atom: 0.1673
Space group: No. 123
Total moment in μB/cell: 0.00
Calculated total energy in Ry per atom: -0.356
ΔE_f (raw) in eV per atom: -0.8322

POSCAR file:
```
AgPO2F
1.0
3.5176 0.0000 0.0000
0.0000 3.5176 0.0000
0.0000 0.0000 4.6886
P F O Ag
1 1 2 1
direct
0.0000 0.0000 0.0000
0.0000 0.0000 0.5000
0.0000 0.5000 0.0000
0.5000 0.0000 0.0000
0.5000 0.5000 0.5000
```

Compound: AgP2OF
Source: the Alexandria database
Functional: GGA-PBE
Structure: relaxed

Values from the calculation:
N(E_F) in states/eV per atom: 0.9205
Space group: No. 123
Total moment in μB/cell: 0.49
Energy relative to the lowest polymorph listed for this composition in meV per atom: 169
Calculated total energy in Ry per atom: -0.233
ΔE_f (raw) in eV per atom: 0.9330

POSCAR file:
```
AgP2OF
1.0
-3.2351 -2.2608 -2.7305
-2.4991 -1.1672 3.9274
-2.1166 3.4256 -0.3287
P O Ag F
2 1 1 1
direct
0.0000 0.5000 0.0000
0.5000 0.0000 0.0000
0.0000 0.0000 0.5000
0.0000 0.0000 0.0000
0.5000 0.5000 0.5000
```

Compound: Ag5PO4F2
Source: the Alexandria database
Functional: GGA-PBE
Structure: relaxed

Values from the calculation:
N(E_F) in states/eV per atom: 0.2168
Space group: No. 38
Total moment in μB/cell: 0.00
Calculated total energy in Ry per atom: -0.339
ΔE_f (raw) in eV per atom: -1.0125

POSCAR file:
```
Ag5PO4F2
1.0
-3.5890 -0.0686 4.3112
1.7913 -4.5499 -2.2312
5.2772 -0.0762 4.3920
O Ag P F
4 5 1 2
direct
0.5642 0.0000 0.8180
0.3791 0.2807 0.0000
0.0984 0.7193 0.0000
0.5642 0.0000 0.1820
0.4920 0.0000 0.5000
0.7308 0.6706 0.7627
0.0601 0.3294 0.7627
0.7308 0.6706 0.2373
0.0601 0.3294 0.2373
0.3959 0.0000 0.0000
0.9771 0.6241 0.5000
0.3530 0.3759 0.5000
```

Compound: AgP2OF
Source: the Alexandria database
Functional: GGA-PBE
Structure: relaxed

Values from the calculation:
N(E_F) in states/eV per atom: 0.8735
Space group: No. 123
Total moment in μB/cell: 0.00
Energy relative to the lowest polymorph listed for this composition in meV per atom: 0
Calculated total energy in Ry per atom: -0.245
ΔE_f (raw) in eV per atom: 0.7645

POSCAR file:
```
AgP2OF
1.0
-1.8962 -3.4302 -1.0092
0.3808 -1.3295 3.8036
-3.9882 1.8926 1.0608
Ag P F O
1 2 1 1
direct
0.5000 0.5000 0.5000
0.0000 0.5000 0.0000
0.5000 0.0000 0.0000
0.0000 0.0000 0.0000
0.0000 0.0000 0.5000
```

Compound: AgPO2F
Source: the Alexandria database
Functional: GGA-PBE
Structure: relaxed

Values from the calculation:
N(E_F) in states/eV per atom: 0.6911
Space group: No. 123
Total moment in μB/cell: 1.30
Calculated total energy in Ry per atom: -0.239
ΔE_f (raw) in eV per atom: 0.7533

POSCAR file:
```
AgPO2F
1.0
4.3721 0.0000 0.0000
0.0000 4.3721 0.0000
0.0000 0.0000 3.5257
F O P Ag
1 2 1 1
direct
0.0000 0.0000 0.0000
0.5000 0.0000 0.0000
0.0000 0.5000 0.0000
0.0000 0.0000 0.5000
0.5000 0.5000 0.5000
```